Entry from Alexandria: crystalline BeCr3Cd3O8 at its relaxed geometry (PBE+U).

The total energy comes out at -0.22159 Ha/atom. As for the theoretical density: 6.0 Mg/m³.

The structure belongs to space group R-3m (No. 166, hexagonal axes); the cell edges are 6.0419, 6.0419 and 16.4597 Å and the angles 90.00°, 90.00° and 120.00°. The asymmetric unit holds Be at (0.0000, 0.0000, 0.0000), Cr at (0.0000, 0.5000, 0.0000), Cd at (0.0000, 0.5000, 0.5000), O at (0.0000, 0.0000, 0.2692) and O at (0.0199, 0.5099, 0.7295).